[1]
The following is a PBE-GGA calculation of an optimized crystal structure of Cs8K3F, from the Alexandria database.

Calculated values
Raw formation energy (eV per atom): -0.398
Total magnetization (μB/atom): 0.0000
Energy (eV per atom): -1.397

Lattice parameters (Å, degrees): 10.6912 15.7508 15.7508 120.00 90.00 90.00
Last column: nearest neighbours and their distance in Å.
Atoms (fractional coordinates):
Cs 0.9751 0.1296 0.5648  1 F 2.89
Cs 0.9751 0.4352 0.8704  1 F 2.89
Cs 0.9751 0.4352 0.5648  1 F 2.89
Cs 0.4751 0.8704 0.4352  1 F 2.89
Cs 0.4751 0.5648 0.1296  1 F 2.89
Cs 0.4751 0.5648 0.4352  1 F 2.89
Cs 0.8224 0.3738 0.1869  3 K 4.71-4.90, 3 Cs 5.14-5.22
Cs 0.8224 0.8131 0.6262  3 K 4.71-4.90, 3 Cs 5.14-5.22
Cs 0.8224 0.8131 0.1869  3 K 4.71-4.90, 3 Cs 5.14-5.22
Cs 0.3224 0.6262 0.8131  3 K 4.71-4.90, 3 Cs 5.14-5.22
Cs 0.3224 0.1869 0.3738  3 K 4.71-4.90, 3 Cs 5.14-5.22
Cs 0.3224 0.1869 0.8131  3 K 4.71-4.90, 3 Cs 5.14-5.22
Cs 0.6361 0.3333 0.6667  1 F 2.83
Cs 0.1361 0.6667 0.3333  1 F 2.83
Cs 0.0315 0.0000 0.0000  6 K 4.83-4.95, 2 Cs 5.35
Cs 0.5315 0.0000 0.0000  6 K 4.83-4.95, 2 Cs 5.35
K 0.7706 0.6999 0.8499  8 Cs 4.71-5.20, 1 F 5.19
K 0.7706 0.1501 0.3001  8 Cs 4.71-5.20, 1 F 5.19
K 0.7706 0.1501 0.8499  8 Cs 4.71-5.20, 1 F 5.19
K 0.2706 0.3001 0.1501  8 Cs 4.71-5.20, 1 F 5.19
K 0.2706 0.8499 0.6999  8 Cs 4.71-5.20, 1 F 5.19
K 0.2706 0.8499 0.1501  8 Cs 4.71-5.20, 1 F 5.19
F 0.9011 0.3333 0.6667  4 Cs 2.83-2.89
F 0.4011 0.6667 0.3333  4 Cs 2.83-2.89



[2]
The following is a PBE-GGA calculation of an optimized crystal structure of Nd2SmYHo2, from the Alexandria database.

Calculated values
Total magnetization (μB/atom): 0.0000
Energy (eV per atom): -4.719
Energy relative to the elements (meV per atom): 261

Lattice parameters (Å, degrees): 3.4045 6.6254 18.1044 90.00 90.00 90.00
Last column: nearest neighbours and their distance in Å.
Atoms (fractional coordinates):
Nd 0.5000 0.2730 0.3134  4 Ho 3.38-3.47, 2 Nd 3.40, 1 Y 3.70
Nd 0.0000 0.7730 0.1866  4 Ho 3.38-3.47, 2 Nd 3.40, 1 Y 3.70
Nd 0.5000 0.7270 0.6866  4 Ho 3.38-3.47, 2 Nd 3.40, 1 Y 3.70
Nd 0.0000 0.2270 0.8134  4 Ho 3.38-3.47, 2 Nd 3.40, 1 Y 3.70
Sm 0.5000 0.5000 0.0000  2 Sm 3.40, 4 Ho 3.48, 4 Y 3.72
Sm 0.0000 0.0000 0.5000  2 Sm 3.40, 4 Ho 3.48, 4 Y 3.72
Y 0.0000 0.0000 0.0000  2 Ho 3.21, 2 Y 3.40
Y 0.5000 0.5000 0.5000  2 Ho 3.21, 2 Y 3.40
Ho 0.5000 0.7747 0.3537  1 Y 3.21, 4 Nd 3.38-3.47, 2 Ho 3.40, 2 Sm 3.48
Ho 0.5000 0.2253 0.6463  1 Y 3.21, 4 Nd 3.38-3.47, 2 Ho 3.40, 2 Sm 3.48
Ho 0.0000 0.7253 0.8537  1 Y 3.21, 4 Nd 3.38-3.47, 2 Ho 3.40, 2 Sm 3.48
Ho 0.0000 0.2747 0.1463  1 Y 3.21, 4 Nd 3.38-3.47, 2 Ho 3.40, 2 Sm 3.48



[3]
The following is a PBE-GGA calculation of an optimized crystal structure of BaAu2Cl, from the Alexandria database.

Calculated values
Raw formation energy (eV per atom): -0.941
Total magnetization (μB/atom): 0.0000
Energy (eV per atom): -3.522
ΔE to the lowest computed polymorph (meV/atom): 80

Lattice parameters (Å, degrees): 4.2237 4.2237 6.0095 90.00 90.00 89.99
Last column: nearest neighbours and their distance in Å.
Atoms (fractional coordinates):
Au 0.0000 0.0000 0.0000  4 Au 2.99
Au 0.5000 0.5000 0.0000  4 Au 2.99
Ba 0.5000 0.0000 0.5000  4 Cl 2.99
Cl 0.0000 0.5000 0.5000  4 Ba 2.99